Entry 1:
The following is a DFT calculation (PBE-GGA) of a geometry-optimized Sr2ZrGaS5 structure.

Unit cell a=3.900 b=8.925 c=12.351 alpha=90.00 beta=90.00 gamma=102.62
Site moments in Bohr magnetons follow the coordinates.
Atoms (fractional coordinates):
Sr 0.132 0.265 0.315  0.00
S 0.687 0.374 0.875  0.00
S 0.498 0.996 0.775  0.00
S 0.292 0.585 0.665  0.00
S 0.949 0.898 0.541  0.00
S 0.051 0.102 0.041  0.00
Sr 0.119 0.237 0.687  0.00
Sr 0.881 0.763 0.187  0.00
S 0.353 0.706 0.005  0.00
Zr 0.211 0.421 0.023  0.07
S 0.313 0.626 0.375  0.00
Sr 0.868 0.735 0.815  0.00
S 0.502 0.004 0.275  0.00
S 0.708 0.415 0.165  0.00
Zr 0.789 0.579 0.523  0.07
Ga 0.556 0.111 0.938  0.00
Ga 0.444 0.889 0.438  0.00
S 0.647 0.294 0.505  0.00

Results
As for the formation energy from raw total energies: -1.55 eV/atom. The calculation puts the volume at 23.309 Å³/atom.

***

Entry 2:
The following is a DFT calculation (PBE-GGA) of a geometry-optimized AcU2TcC4 structure.

Unit cell a=3.637 b=6.254 c=12.007 alpha=90.00 beta=90.00 gamma=106.91
Site moments in Bohr magnetons follow the coordinates.
Atoms (fractional coordinates):
C 0.751 0.502 0.607  -0.01
C 0.249 0.498 0.107  -0.01
Tc 0.837 0.674 0.750  0.05
C 0.582 0.164 0.250  0.00
Ac 0.099 0.197 0.750  0.02
Ac 0.901 0.803 0.250  0.02
C 0.751 0.502 0.893  -0.01
U 0.370 0.740 0.954  0.53
U 0.630 0.260 0.046  0.53
C 0.249 0.498 0.393  -0.01
C 0.000 0.000 0.500  -0.03
Tc 0.163 0.326 0.250  0.05
C 0.418 0.836 0.750  0.00
U 0.370 0.740 0.546  0.53
U 0.630 0.260 0.454  0.53
C 0.000 0.000 0.000  -0.03

Results
Its uncorrected energy is -9.2472 eV per atom. The calculation puts the volume at 16.333 Å³/atom.

***

Entry 3:
The following is a DFT calculation (PBE-GGA) of a geometry-optimized ErTm2Zn3 structure.

Unit cell a=4.984 b=4.984 c=6.120 alpha=90.00 beta=90.00 gamma=120.00
Atoms (fractional coordinates):
Zn 0.667 0.333 0.834
Tm 0.333 0.667 0.665
Zn 0.000 0.000 0.500
Zn 0.333 0.667 0.166
Tm 0.667 0.333 0.335
Er 0.000 0.000 0.000

Results
Its uncorrected energy is -3.2402 eV per atom. The calculation puts the volume at 21.945 Å³/atom.

***

Entry 4:
The following is a DFT calculation (PBE-GGA) of a geometry-optimized ReSi2Rh structure.

Unit cell a=4.724 b=4.724 c=4.270 alpha=74.44 beta=74.44 gamma=36.01
Atoms (fractional coordinates):
Si 0.251 0.251 0.313
Rh 0.744 0.744 0.825
Re 0.509 0.509 0.423
Si 0.996 0.996 0.940

Results
As for the formation energy from raw total energies: -0.43 eV/atom. The calculation puts the excess energy over the best structure of this formula in the dataset at 1.72 kJ per mole of atoms. The calculation puts the volume at 13.433 Å³/atom.

***

Entry 5:
The following is a DFT calculation (PBE-GGA) of a geometry-optimized GdLu3 structure.

Unit cell a=4.939 b=4.939 c=6.041 alpha=114.13 beta=114.13 gamma=90.00
Site moments in Bohr magnetons follow the coordinates.
Atoms (fractional coordinates):
Lu 0.500 0.500 0.000  0.05
Lu 0.750 0.250 0.500  0.01
Gd 0.000 0.000 0.000  -7.20
Lu 0.250 0.750 0.500  0.01

Results
The calculation puts the excess energy over the best structure of this formula in the dataset at 3.19 kJ per mole of atoms. The calculation puts the volume at 30.061 Å³/atom.

***

Entry 6:
The following is a DFT calculation (PBE-GGA) of a geometry-optimized Sm4Al structure.

Unit cell a=5.668 b=5.668 c=5.668 alpha=90.00 beta=90.00 gamma=90.00
Atoms (fractional coordinates):
Sm 0.000 0.000 0.000
Sm 0.000 0.500 0.500
Sm 0.500 0.000 0.500
Al 0.500 0.500 0.500
Sm 0.500 0.500 0.000

Results
The calculation puts the excess energy over the best structure of this formula in the dataset at 22.61 kJ per mole of atoms. The calculation puts the volume at 36.409 Å³/atom.

***

Entry 7:
The following is a DFT calculation (PBE-GGA) of a geometry-optimized Rb2TlAu2 structure.

Unit cell a=6.231 b=6.231 c=7.035 alpha=63.72 beta=63.72 gamma=90.00
Atoms (fractional coordinates):
Tl 0.000 0.000 0.000
Au 0.750 0.250 0.500
Rb 0.656 0.656 0.688
Rb 0.344 0.344 0.312
Au 0.250 0.750 0.500

Results
The calculation puts the excess energy over the best structure of this formula in the dataset at 35.69 kJ per mole of atoms. The calculation puts the volume at 42.590 Å³/atom.

***

Entry 8:
The following is a DFT calculation (PBE-GGA) of a geometry-optimized ZnGaRh2 structure.

Unit cell a=3.023 b=4.284 c=8.552 alpha=90.00 beta=90.00 gamma=90.00
Atoms (fractional coordinates):
Zn 0.500 0.250 0.379
Ga 0.500 0.250 0.871
Ga 0.500 0.750 0.129
Rh 0.000 0.250 0.119
Rh 0.000 0.750 0.369
Zn 0.500 0.750 0.621
Rh 0.000 0.750 0.881
Rh 0.000 0.250 0.631

Results
The calculation puts the excess energy over the best structure of this formula in the dataset at 0.89 kJ per mole of atoms. The calculation puts the volume at 13.843 Å³/atom.